No. 1
Computed, not measured: a relaxed CaVBiO5 crystal at the GGA+U level of DFT.

POSCAR file:
```
CaVBiO5
1.0
-3.327 -3.942 3.931
6.046 -2.077 -1.095
0.862 6.277 3.938
O Bi V Ca
10 2 2 2
direct
0.588 0.768 0.929 O
0.894 0.349 0.123 O
0.898 0.102 0.750 O
0.412 0.232 0.071 O
0.102 0.898 0.250 O
0.651 0.106 0.377 O
0.349 0.894 0.623 O
0.106 0.651 0.877 O
0.768 0.588 0.429 O
0.232 0.412 0.571 O
0.287 0.713 0.250 Bi
0.713 0.287 0.750 Bi
0.682 0.318 0.250 V
0.318 0.682 0.750 V
0.000 0.000 0.500 Ca
0.000 0.000 0.000 Ca
```

Properties
- spin magnetization (μB/cell) = 0.00
- SG = No. 15
- crystal system = monoclinic
- E_tot (eV/atom) = -6.7633
- ΔE to the lowest computed polymorph (kJ per mole of atoms) = 11.5

***

No. 2
Computed, not measured: a relaxed Ca3V2Bi2O12 crystal at the GGA+U level of DFT.

POSCAR file:
```
Ca3V2Bi2O12
1.0
-1.067 3.382 -4.251
-6.986 -2.087 -0.040
0.095 5.582 5.163
O V Ca Bi
12 2 3 2
direct
0.455 0.248 0.772 O
0.950 0.174 0.608 O
0.428 0.971 0.076 O
0.910 0.405 0.945 O
0.484 0.886 0.401 O
0.025 0.346 0.326 O
0.510 0.326 0.363 O
0.848 0.037 0.916 O
0.504 0.614 0.653 O
0.443 0.594 0.100 O
0.994 0.597 0.663 O
0.004 0.815 0.198 O
0.782 0.209 0.802 V
0.322 0.815 0.193 V
0.269 0.287 0.075 Ca
0.774 0.078 0.306 Ca
0.754 0.709 0.914 Ca
0.736 0.588 0.421 Bi
0.254 0.391 0.574 Bi
```

Properties
- spin magnetization (μB/cell) = 0.00
- SG = No. 1
- crystal system = triclinic
- E_tot (eV/atom) = -6.6577

***

No. 3
Computed, not measured: a relaxed CaVBi2O6 crystal at the GGA+U level of DFT.

POSCAR file:
```
CaVBi2O6
1.0
-0.812 0.583 5.401
-0.504 -6.093 0.582
8.110 -0.545 1.319
Ca O Bi V
2 12 4 2
direct
0.000 0.500 0.500 Ca
0.500 0.000 0.000 Ca
0.666 0.254 0.573 O
0.334 0.746 0.427 O
0.613 0.068 0.269 O
0.680 0.338 0.976 O
0.113 0.432 0.769 O
0.387 0.932 0.731 O
0.166 0.246 0.073 O
0.820 0.838 0.524 O
0.887 0.568 0.231 O
0.320 0.662 0.024 O
0.834 0.754 0.927 O
0.180 0.162 0.476 O
0.003 0.942 0.280 Bi
0.497 0.442 0.220 Bi
0.997 0.058 0.720 Bi
0.503 0.558 0.780 Bi
0.000 0.500 0.000 V
0.500 0.000 0.500 V
```

Properties
- spin magnetization (μB/cell) = 2.00
- SG = No. 14
- crystal system = monoclinic
- E_tot (eV/atom) = -6.5306

***

No. 4
Computed, not measured: a relaxed CaV2BiO8 crystal at the GGA+U level of DFT.

POSCAR file:
```
CaV2BiO8
1.0
-4.790 -0.819 -3.316
1.633 -4.114 3.875
-3.694 2.889 4.622
O V Bi Ca
8 2 1 1
direct
0.671 0.836 0.757 O
0.164 0.836 0.757 O
0.667 0.333 0.917 O
0.333 0.667 0.083 O
0.329 0.164 0.243 O
0.164 0.329 0.757 O
0.836 0.671 0.243 O
0.836 0.164 0.243 O
0.333 0.667 0.834 V
0.667 0.333 0.166 V
0.000 0.000 0.000 Bi
0.000 0.000 0.500 Ca
```

Properties
- spin magnetization (μB/cell) = 0.00
- SG = No. 164
- crystal system = trigonal
- E_tot (eV/atom) = -6.8781

***

No. 5
Computed, not measured: a relaxed CaVBiO5 crystal at the GGA+U level of DFT.

POSCAR file:
```
CaVBiO5
1.0
5.540 0.000 0.000
0.000 11.373 0.000
0.000 0.000 15.815
O Ca Bi V
40 8 8 8
direct
0.709 0.454 0.565 O
0.825 0.476 0.374 O
0.757 0.731 0.653 O
0.936 0.326 0.695 O
0.675 0.476 0.874 O
0.936 0.826 0.805 O
0.709 0.954 0.935 O
0.436 0.674 0.805 O
0.757 0.231 0.847 O
0.064 0.174 0.195 O
0.564 0.326 0.195 O
0.243 0.769 0.153 O
0.873 0.184 0.025 O
0.064 0.674 0.305 O
0.175 0.524 0.626 O
0.291 0.046 0.065 O
0.373 0.816 0.475 O
0.791 0.954 0.435 O
0.825 0.976 0.126 O
0.127 0.816 0.975 O
0.291 0.546 0.435 O
0.127 0.316 0.525 O
0.373 0.316 0.025 O
0.627 0.184 0.525 O
0.175 0.024 0.874 O
0.325 0.024 0.374 O
0.243 0.269 0.347 O
0.743 0.731 0.153 O
0.791 0.454 0.065 O
0.564 0.826 0.305 O
0.873 0.684 0.475 O
0.209 0.546 0.935 O
0.325 0.524 0.126 O
0.743 0.231 0.347 O
0.675 0.976 0.626 O
0.209 0.046 0.565 O
0.257 0.769 0.653 O
0.436 0.174 0.695 O
0.627 0.684 0.975 O
0.257 0.269 0.847 O
0.496 0.641 0.552 Ca
0.996 0.359 0.948 Ca
0.004 0.641 0.052 Ca
0.004 0.141 0.448 Ca
0.504 0.359 0.448 Ca
0.996 0.859 0.552 Ca
0.504 0.859 0.052 Ca
0.496 0.141 0.948 Ca
0.452 0.655 0.231 Bi
0.548 0.845 0.731 Bi
0.048 0.655 0.731 Bi
0.452 0.155 0.269 Bi
0.952 0.345 0.269 Bi
0.048 0.155 0.769 Bi
0.548 0.345 0.769 Bi
0.952 0.845 0.231 Bi
0.487 0.097 0.599 V
0.487 0.597 0.901 V
0.987 0.403 0.599 V
0.513 0.403 0.099 V
0.513 0.903 0.401 V
0.013 0.097 0.099 V
0.013 0.597 0.401 V
0.987 0.903 0.901 V
```

Properties
- spin magnetization (μB/cell) = 0.00
- SG = No. 61
- crystal system = orthorhombic
- E_tot (eV/atom) = -6.8826
- ΔE to the lowest computed polymorph (kJ per mole of atoms) = 0.0

***

No. 6
Computed, not measured: a relaxed CaVBiO6 crystal at the GGA+U level of DFT.

POSCAR file:
```
CaVBiO6
1.0
-4.959 -1.581 -1.475
-1.856 -0.657 6.944
-2.568 7.115 1.007
O Bi V Ca
12 2 2 2
direct
0.022 0.795 0.605 O
0.188 0.000 0.873 O
0.101 0.623 0.948 O
0.522 0.205 0.395 O
0.460 0.638 0.353 O
0.435 0.410 0.668 O
0.601 0.377 0.052 O
0.935 0.590 0.332 O
0.549 0.758 0.766 O
0.960 0.362 0.647 O
0.049 0.242 0.234 O
0.688 0.000 0.127 O
0.222 0.401 0.430 Bi
0.722 0.599 0.570 Bi
0.215 0.796 0.792 V
0.715 0.204 0.208 V
0.214 0.306 0.919 Ca
0.714 0.694 0.081 Ca
```

Properties
- spin magnetization (μB/cell) = 0.00
- SG = No. 4
- crystal system = monoclinic
- E_tot (eV/atom) = -6.4679

***

No. 7
Computed, not measured: a relaxed Ca2BiWO6 crystal at the GGA+U level of DFT.

POSCAR file:
```
Ca2BiWO6
1.0
-4.827 0.819 3.135
1.361 -4.592 3.295
4.326 5.103 5.326
Ca O Bi W
4 12 2 2
direct
0.500 0.000 0.250 Ca
0.000 0.500 0.250 Ca
0.500 0.000 0.750 Ca
0.000 0.500 0.750 Ca
0.359 0.814 0.000 O
0.641 0.186 0.000 O
0.000 0.000 0.265 O
0.500 0.500 0.765 O
0.314 0.859 0.500 O
0.814 0.641 0.000 O
0.859 0.686 0.500 O
0.000 0.000 0.735 O
0.500 0.500 0.235 O
0.186 0.359 0.000 O
0.141 0.314 0.500 O
0.686 0.141 0.500 O
0.000 0.000 0.000 Bi
0.500 0.500 0.500 Bi
0.000 0.000 0.500 W
0.500 0.500 0.000 W
```

Properties
- spin magnetization (μB/cell) = 2.00
- SG = No. 128
- crystal system = tetragonal
- E_tot (eV/atom) = -6.5659
- ΔE to the lowest computed polymorph (kJ per mole of atoms) = 18.2

***

No. 8
Computed, not measured: a relaxed Ca2BiWO6 crystal at the GGA+U level of DFT.

POSCAR file:
```
Ca2BiWO6
1.0
5.515 -2.924 0.000
5.515 2.924 0.000
3.965 0.000 4.821
O Bi Ca W
6 1 2 1
direct
0.237 0.960 0.667 O
0.960 0.667 0.237 O
0.376 0.844 0.074 O
0.074 0.376 0.844 O
0.667 0.237 0.960 O
0.844 0.074 0.376 O
0.453 0.453 0.453 Bi
0.217 0.217 0.217 Ca
0.693 0.693 0.693 Ca
0.011 0.011 0.011 W
```

Properties
- spin magnetization (μB/cell) = 1.00
- SG = No. 146
- crystal system = trigonal
- E_tot (eV/atom) = -6.7008
- ΔE to the lowest computed polymorph (kJ per mole of atoms) = 5.1